AcPm6Ho2Tm: relaxed, PBE.

Lattice parameters (Å, degrees): 9.029 9.029 9.643 92.75 92.75 117.44
Atoms (fractional coordinates):
Ac 0.028 0.972 0.750
Ac 0.972 0.028 0.250
Pm 0.006 0.555 0.686
Pm 0.127 0.756 0.055
Pm 0.244 0.873 0.445
Pm 0.288 0.510 0.883
Pm 0.445 0.994 0.814
Pm 0.490 0.712 0.617
Pm 0.510 0.288 0.383
Pm 0.555 0.006 0.186
Pm 0.712 0.490 0.117
Pm 0.756 0.127 0.555
Pm 0.873 0.244 0.945
Pm 0.994 0.445 0.314
Ho 0.207 0.318 0.548
Ho 0.318 0.207 0.048
Ho 0.682 0.793 0.952
Ho 0.793 0.682 0.452
Tm 0.414 0.586 0.250
Tm 0.586 0.414 0.750

Values from the calculation:
Its theoretical density is 7.63 g cm⁻³. As for the energy of formation: 0.122 eV/atom. Its symmetry is C2/c (15).